Density functional theory data (GGA+U) for an optimized crystal structure of VBi2O6.

a = 6.9640 Å, b = 8.0335 Å, c = 10.7742 Å
α = 90.00°, β = 108.51°, γ = 90.00°
Closest atoms and distances in Å follow each position.
Space group P2_1/c (No. 14)
One atom of each set of equivalent atoms:
V (0.1152, 0.0379, 0.3269) (multiplicity 4)  4 O 1.73-1.76
Bi (0.2717, 0.6156, 0.4815) (multiplicity 4)  4 O 2.16-2.36
Bi (0.3793, 0.1779, 0.6705) (multiplicity 4)  5 O 2.15-2.39
O (0.1340, 0.0262, 0.7370) (multiplicity 4)  1 V 1.73
O (0.1399, 0.1649, 0.4619) (multiplicity 4)  1 V 1.74
O (0.1546, 0.1333, 0.1906) (multiplicity 4)  1 V 1.75
O (0.2850, 0.6307, 0.8744) (multiplicity 4)  1 V 1.76
O (0.4388, 0.7285, 0.1425) (multiplicity 4)  2 Bi 2.15-2.16
O (0.4724, 0.0944, 0.0924) (multiplicity 4)  3 Bi 2.18-2.27

Properties
Mass density in kg/m3: 6565
Total DFT energy (no corrections) in eV/cell: -228.96
Spin magnetization in μB per formula unit: 0.00